Record 1
First-principles (GGA-PBEsol) data for CaTa2Rh after structural relaxation, as listed in Alexandria via LeMat-Bulk.

Computed properties:
- E_tot (Ry/atom) = -0.6481
- Fermi-level density of states (states/eV per cell) = 4.6
- space-group type = P4mm (99)
- energy of formation from the pure elements (meV/atom) = 25.1

Geometry as POSCAR:
```
CaTa2Rh
1.0
3.064 0.000 0.000
0.000 3.064 0.000
0.000 0.000 8.336
Ca Ta Rh
1 2 1
Direct
0.000 0.000 0.000
0.000 0.000 0.438
0.500 0.500 0.669
0.500 0.500 0.263
```


Record 2
First-principles (GGA-PBEsol) data for CaTa3Rh after structural relaxation, as listed in Alexandria via LeMat-Bulk.

Computed properties:
- E_tot (Ry/atom) = -0.5130
- Fermi-level density of states (states/eV per cell) = 8.2
- space-group type = Pm-3m (221)
- energy of formation from the pure elements (meV/atom) = 2604.6

Geometry as POSCAR:
```
CaTa3Rh
1.0
4.551 0.000 0.000
0.000 4.551 0.000
0.000 0.000 4.551
Ca Ta Rh
1 3 1
Direct
0.000 0.000 0.000
0.000 0.000 0.500
0.000 0.500 0.000
0.500 0.000 0.000
0.500 0.500 0.500
```


Record 3
First-principles (GGA-PBEsol) data for Ca2TaRh after structural relaxation, as listed in Alexandria via LeMat-Bulk.

Computed properties:
- relative energy among the computed polymorphs (meV per atom) = 0
- E_tot (Ry/atom) = -0.4589
- Fermi-level density of states (states/eV per cell) = 4.5
- space-group type = P4mm (99)
- energy of formation from the pure elements (meV/atom) = -5.1

Geometry as POSCAR:
```
Ca2TaRh
1.0
3.352 0.000 0.000
0.000 3.352 0.000
0.000 0.000 8.962
Ca Ta Rh
2 1 1
Direct
0.000 0.000 0.000
0.500 0.500 0.376
0.500 0.500 0.732
0.000 0.000 0.620
```


Record 4
First-principles (GGA-PBEsol) data for Ca2TaRh after structural relaxation, as listed in Alexandria via LeMat-Bulk.

Computed properties:
- relative energy among the computed polymorphs (meV per atom) = 442
- E_tot (Ry/atom) = -0.4264
- Fermi-level density of states (states/eV per cell) = 3.5
- space-group type = P4/mmm (123)
- energy of formation from the pure elements (meV/atom) = 437.0

Geometry as POSCAR:
```
Ca2TaRh
1.0
3.976 0.000 0.000
0.000 3.976 0.000
0.000 0.000 5.047
Ca Ta Rh
2 1 1
Direct
0.000 0.500 0.000
0.500 0.000 0.000
0.000 0.000 0.500
0.500 0.500 0.500
```


Record 5
First-principles (GGA-PBEsol) data for CaTcRh2 after structural relaxation, as listed in Alexandria via LeMat-Bulk.

Computed properties:
- E_tot (Ry/atom) = -0.5289
- Fermi-level density of states (states/eV per cell) = 6.1
- space-group type = Pmm2 (25)
- energy of formation from the pure elements (meV/atom) = 223.4

Geometry as POSCAR:
```
CaTcRh2
1.0
2.739 0.000 0.000
0.000 3.932 0.000
0.000 0.000 6.151
Ca Tc Rh
1 1 2
Direct
0.000 0.000 0.000
0.500 0.500 0.664
0.000 0.000 0.502
0.500 0.500 0.264
```


Record 6
First-principles (GGA-PBEsol) data for Ca2TeRh2 after structural relaxation, as listed in Alexandria via LeMat-Bulk.

Computed properties:
- E_tot (Ry/atom) = -0.3882
- formation energy from raw total energies (eV/f.u.) = -2.34
- Fermi-level density of states (states/eV per cell) = 11.6
- space-group type = I4/mmm (139)

Geometry as POSCAR:
```
Ca2TeRh2
1.0
3.670 0.000 0.000
0.000 3.670 0.000
0.000 0.000 16.772
Ca Te Rh
4 2 4
Direct
0.000 0.000 0.111
0.000 0.000 0.889
0.500 0.500 0.389
0.500 0.500 0.611
0.000 0.000 0.500
0.500 0.500 0.000
0.000 0.500 0.250
0.000 0.500 0.750
0.500 0.000 0.250
0.500 0.000 0.750
```


Record 7
First-principles (GGA-PBEsol) data for CaTi2Rh after structural relaxation, as listed in Alexandria via LeMat-Bulk.

Computed properties:
- E_tot (Ry/atom) = -0.4854
- Fermi-level density of states (states/eV per cell) = 25.6
- space-group type = Fm-3m (225)
- energy of formation from the pure elements (meV/atom) = 124.2

Geometry as POSCAR:
```
CaTi2Rh
1.0
6.472 0.000 0.000
0.000 6.472 0.000
0.000 0.000 6.472
Ca Ti Rh
4 8 4
Direct
0.000 0.000 0.000
0.000 0.500 0.500
0.500 0.000 0.500
0.500 0.500 0.000
0.250 0.250 0.250
0.250 0.250 0.750
0.250 0.750 0.250
0.250 0.750 0.750
0.750 0.250 0.250
0.750 0.250 0.750
0.750 0.750 0.250
0.750 0.750 0.750
0.000 0.000 0.500
0.000 0.500 0.000
0.500 0.000 0.000
0.500 0.500 0.500
```


Record 8
First-principles (GGA-PBEsol) data for CaTl2Rh2 after structural relaxation, as listed in Alexandria via LeMat-Bulk.

Computed properties:
- E_tot (Ry/atom) = -0.3618
- Fermi-level density of states (states/eV per cell) = 4.1
- space-group type = P4/mbm (127)
- energy of formation from the pure elements (meV/atom) = -187.8

Geometry as POSCAR:
```
CaTl2Rh2
1.0
7.709 0.000 0.000
0.000 7.709 0.000
0.000 0.000 3.244
Ca Tl Rh
2 4 4
Direct
0.000 0.000 0.000
0.500 0.500 0.000
0.159 0.341 0.500
0.341 0.841 0.500
0.659 0.159 0.500
0.841 0.659 0.500
0.137 0.637 0.000
0.363 0.137 0.000
0.637 0.863 0.000
0.863 0.363 0.000
```